Entry 1:
Compound: Cs2HgCl4
Source: Alexandria via LeMat-Bulk
Functional: PBE
Structure: optimized geometry

Total DFT energy (no corrections) in Ry per atom: -0.2040
E above lowest polymorph in kJ/mol of formula units: 0.0
Volume in Å³ per cell: 2175.7
Total moment in μB/f.u.: 0.00
Energy relative to the elements, uncorrected in eV per atom: -1.433

Cell and atoms, written as CIF:
```
data_Cs2HgCl4
_chemical_formula_sum 'Cs16 Hg8 Cl32'
_cell_length_a 9.858
_cell_length_b 7.907
_cell_length_c 27.921
_cell_angle_alpha 90.00
_cell_angle_beta 91.18
_cell_angle_gamma 90.00
_space_group_name_H-M_alt 'P 1 21/c 1'
_space_group_IT_number 14
_space_group_name_Hall '-P 2ybc'
loop_
_atom_site_label
_atom_site_fract_x
_atom_site_fract_y
_atom_site_fract_z
_atom_site_occupancy
Cs1 0.003 0.243 0.152 1
Cs2 0.122 0.738 0.055 1
Cs3 0.372 0.227 0.284 1
Cs4 0.488 0.694 0.410 1
Hg1 0.203 0.717 0.213 1
Hg2 0.285 0.226 0.458 1
Cl1 0.029 0.108 0.273 1
Cl2 0.167 0.186 0.035 1
Cl3 0.184 0.564 0.940 1
Cl4 0.197 0.096 0.887 1
Cl5 0.286 0.532 0.667 1
Cl6 0.318 0.027 0.667 1
Cl7 0.336 0.748 0.793 1
Cl8 0.465 0.733 0.536 1
```

Entry 2:
Compound: CsHg6Cl12
Source: Alexandria via LeMat-Bulk
Functional: PBE
Structure: optimized geometry

Total DFT energy (no corrections) in Ry per atom: -0.1455
E above lowest polymorph in kJ/mol of formula units: 0.0
Volume in Å³ per cell: 1861.6
Total moment in μB/f.u.: 0.00
Energy relative to the elements, uncorrected in eV per atom: -0.673

Cell and atoms, written as CIF:
```
data_CsHg6Cl12
_chemical_formula_sum 'Cs3 Hg18 Cl36'
_cell_length_a 15.6972
_cell_length_b 15.6972
_cell_length_c 8.7240
_cell_angle_alpha 90.00
_cell_angle_beta 90.00
_cell_angle_gamma 120.00
_space_group_name_H-M_alt 'R -3'
_space_group_IT_number 148
_space_group_name_Hall '-R 3'
loop_
_atom_site_label
_atom_site_fract_x
_atom_site_fract_y
_atom_site_fract_z
_atom_site_occupancy
Cs1 0.0000 0.0000 0.0000 1
Hg1 0.0470 0.8060 0.6347 1
Cl1 0.0329 0.7888 0.9074 1
Cl2 0.0452 0.8351 0.3650 1
```

> Which of these has the lowest total DFT energy (no corrections)?

Cs2HgCl4